Run one
First-principles (PBE) data for a geometry-optimized ZnSbW structure, as listed in Alexandria.

The structure in POSCAR format:
```
ZnSbW
1.0
7.187 0.021 0.000
5.890 4.118 0.000
-6.539 -2.070 2.149
Sb Zn W
1 1 1
direct
0.970 0.970 0.000
0.704 0.704 0.000
0.326 0.326 0.000
```

Run two
First-principles (PBE) data for a geometry-optimized ZnSbW structure, as listed in Alexandria.

The structure in POSCAR format:
```
ZnSbW
1.0
4.753 0.000 0.000
-2.376 4.116 0.000
0.000 0.000 2.854
Zn Sb W
1 1 1
direct
0.667 0.333 0.666
0.000 0.000 0.168
0.333 0.667 0.166
```

Run three
First-principles (PBE) data for a geometry-optimized ZnSbW structure, as listed in Alexandria.

The structure in POSCAR format:
```
ZnSbW
1.0
7.461 -0.016 0.013
6.705 2.853 -0.046
0.756 -0.639 2.798
Zn Sb W
1 1 1
direct
0.689 0.689 0.311
0.983 0.983 0.017
0.329 0.329 0.671
```

Stability verdict: run one, ahead by 2.9 kJ/mol of atoms

Run one
First-principles (PBE) data for a geometry-optimized ZnSbW structure, as listed in Alexandria.

The structure in POSCAR format:
```
ZnSbW
1.0
3.110 0.000 0.000
-1.555 2.693 0.000
0.000 0.000 6.809
Sb Zn W
1 1 1
direct
0.000 0.000 0.019
0.333 0.667 0.641
0.667 0.333 0.340
```

Run two
First-principles (PBE) data for a geometry-optimized ZnSbW structure, as listed in Alexandria.

The structure in POSCAR format:
```
ZnSbW
1.0
-0.958 -3.040 -3.924
3.471 -1.092 -3.510
-0.537 0.151 5.024
Sb W Zn
1 1 1
direct
0.996 0.996 0.000
0.331 0.331 0.000
0.673 0.673 0.000
```

Stability verdict: run two, ahead by 17.3 kJ/mol of atoms

Run one
First-principles (PBE) data for a geometry-optimized ZnSbW structure, as listed in Alexandria.

The structure in POSCAR format:
```
ZnSbW
1.0
-1.125 -0.845 -4.267
-2.967 -3.241 -0.942
-4.099 1.072 -1.497
Zn Sb W
1 1 1
direct
0.000 0.000 0.000
0.500 0.500 0.500
0.750 0.750 0.750
```

Run two
First-principles (PBE) data for a geometry-optimized ZnSbW structure, as listed in Alexandria.

The structure in POSCAR format:
```
ZnSbW
1.0
-0.444 -4.320 -1.072
2.891 -3.011 1.606
-1.327 -2.947 3.092
Sb W Zn
1 1 1
direct
0.750 0.750 0.750
0.000 0.000 0.000
0.500 0.500 0.500
```

Stability verdict: run one, ahead by 24.6 kJ/mol of atoms

Run one
First-principles (PBE) data for a geometry-optimized ZnSb3W structure, as listed in Alexandria.

The structure in POSCAR format:
```
ZnSb3W
1.0
5.276 0.000 0.000
0.000 5.276 0.000
0.000 0.000 5.276
Sb W Zn
3 1 1
direct
0.500 0.000 0.000
0.000 0.500 0.000
0.000 0.000 0.500
0.000 0.000 0.000
0.500 0.500 0.500
```

Run two
First-principles (PBE) data for a geometry-optimized ZnSb3W structure, as listed in Alexandria.

The structure in POSCAR format:
```
ZnSb3W
1.0
5.106 0.000 0.000
0.000 5.106 0.000
0.000 0.000 5.106
Zn W Sb
1 1 3
direct
0.000 0.000 0.000
0.500 0.500 0.500
0.000 0.000 0.500
0.500 0.000 0.000
0.000 0.500 0.000
```

Stability verdict: run one, ahead by 73.5 kJ/mol of atoms

Run one
First-principles (PBE) data for a geometry-optimized ZnSbW3 structure, as listed in Alexandria.

The structure in POSCAR format:
```
ZnSbW3
1.0
-4.590 0.470 -1.617
0.069 -4.638 -1.545
-1.683 -1.473 4.347
W Sb Zn
3 1 1
direct
0.500 0.000 0.000
0.000 0.500 0.000
0.000 0.000 0.500
0.000 0.000 0.000
0.500 0.500 0.500
```

Run two
First-principles (PBE) data for a geometry-optimized ZnSbW3 structure, as listed in Alexandria.

The structure in POSCAR format:
```
ZnSbW3
1.0
4.604 0.000 0.000
0.000 4.604 0.000
0.000 0.000 4.604
W Sb Zn
3 1 1
direct
0.500 0.000 0.000
0.000 0.500 0.000
0.000 0.000 0.500
0.500 0.500 0.500
0.000 0.000 0.000
```

Stability verdict: run two, ahead by 68.0 kJ/mol of atoms

Run one
First-principles (PBE) data for a geometry-optimized ZrSbW3 structure, as listed in Alexandria.

The structure in POSCAR format:
```
ZrSbW3
1.0
4.864 0.000 0.000
0.000 4.864 0.000
0.000 0.000 4.864
W Sb Zr
3 1 1
direct
0.000 0.000 0.500
0.000 0.500 0.000
0.500 0.000 0.000
0.000 0.000 0.000
0.500 0.500 0.500
```

Run two
First-principles (PBE) data for a geometry-optimized ZrSbW3 structure, as listed in Alexandria.

The structure in POSCAR format:
```
ZrSbW3
1.0
4.881 0.000 0.000
0.000 4.881 0.000
0.000 0.000 4.881
W Zr Sb
3 1 1
direct
0.000 0.000 0.500
0.000 0.500 0.000
0.500 0.000 0.000
0.000 0.000 0.000
0.500 0.500 0.500
```

Stability verdict: run one, ahead by 36.3 kJ/mol of atoms

Run one
First-principles (PBE) data for a geometry-optimized ZrSb2W structure, as listed in Alexandria.

The structure in POSCAR format:
```
ZrSb2W
1.0
-0.737 2.236 -3.989
0.883 -0.656 -4.500
-5.156 -2.563 -1.841
W Sb Zr
1 2 1
direct
0.750 0.750 0.750
0.007 0.007 0.972
0.493 0.493 0.528
0.250 0.250 0.250
```

Run two
First-principles (PBE) data for a geometry-optimized ZrSb2W structure, as listed in Alexandria.

The structure in POSCAR format:
```
ZrSb2W
1.0
-1.545 -2.720 -4.383
1.728 -2.987 5.024
-2.807 -1.245 1.025
W Sb Zr
1 2 1
direct
0.500 0.500 0.000
0.000 0.500 0.500
0.000 0.000 0.000
0.500 0.000 0.500
```

Stability verdict: run one, ahead by 14.9 kJ/mol of atoms

Run one
First-principles (PBE) data for a geometry-optimized ZrSb2W structure, as listed in Alexandria.

The structure in POSCAR format:
```
ZrSb2W
1.0
-4.259 -1.534 1.304
1.254 -3.345 0.161
1.910 -0.947 5.126
Sb Zr W
2 1 1
direct
0.000 0.993 0.890
0.500 0.262 0.352
0.500 0.542 0.791
0.000 0.704 0.468
```

Run two
First-principles (PBE) data for a geometry-optimized ZrSb2W structure, as listed in Alexandria.

The structure in POSCAR format:
```
ZrSb2W
1.0
-1.212 -2.014 2.431
1.490 -2.661 -1.461
5.881 1.158 3.891
W Sb Zr
1 2 1
direct
0.500 0.500 0.250
0.000 0.000 0.023
0.000 0.000 0.477
0.500 0.500 0.750
```

Stability verdict: run one, ahead by 2.6 kJ/mol of atoms